Density functional theory data (PBE with a Hubbard U) for a relaxed MgMn6Nb4O18 crystal.

- Total energy: -8.15 eV per atom
- Magnetization: 28.0 Bohr magnetons per cell

Cell and atoms, written as CIF:
```
data_MgMn6Nb4O18
_cell_length_a 5.398
_cell_length_b 5.411
_cell_length_c 15.125
_cell_angle_alpha 89.98
_cell_angle_beta 80.67
_cell_angle_gamma 62.60
_symmetry_space_group_name_H-M 'P 1'
_symmetry_Int_Tables_number 1
loop_
_symmetry_equiv_pos_as_xyz
'x,y,z'
loop_
_atom_site_label
_atom_site_fract_x
_atom_site_fract_y
_atom_site_fract_z
Mg1 0.000 0.000 0.000
Mn1 0.174 0.323 0.435
Mn2 0.366 0.248 0.155
Mn3 0.450 0.287 0.942
Mn4 0.828 0.990 0.456
Mn5 0.845 0.617 0.891
Mn6 0.958 0.505 0.642
Nb1 0.242 0.921 0.798
Nb2 0.332 0.786 0.603
Nb3 0.568 0.627 0.325
Nb4 0.749 0.552 0.125
O1 0.072 0.760 0.715
O2 0.084 0.074 0.540
O3 0.155 0.216 0.062
O4 0.200 0.166 0.701
O5 0.207 0.664 0.895
O6 0.212 0.663 0.381
O7 0.301 0.472 0.556
O8 0.454 0.873 0.204
O9 0.512 0.960 0.859
O10 0.542 0.955 0.383
O11 0.582 0.351 0.221
O12 0.590 0.358 0.054
O13 0.591 0.613 0.710
O14 0.718 0.732 0.553
O15 0.779 0.784 0.031
O16 0.815 0.348 0.390
O17 0.908 0.214 0.884
O18 0.972 0.516 0.218
```